DFT (PBE) results for an optimized crystal structure of Sm4Y4Tm.

Cell lengths 8.017, 8.017, 8.033 Å; angles 107.55, 107.55, 36.89 degrees
Fractional coordinates of all 9 atoms:
1 Sm 0.166 0.166 0.001
2 Sm 0.278 0.278 0.667
3 Sm 0.722 0.722 0.333
4 Sm 0.834 0.834 0.999
5 Y 0.055 0.055 0.333
6 Y 0.389 0.389 0.332
7 Y 0.611 0.611 0.668
8 Y 0.945 0.945 0.667
9 Tm 0.500 0.500 0.000

Computed properties:
* size of the total moment: 0.00 μB per formula unit
* energy: -49.0 eV/cell
* crystal system: monoclinic